No. 1
A relaxed structure of ZnCdBr2. Source: Alexandria, functional PBE-GGA.

Summary:
Polymorph energy (0 for the lowest one): 95 meV/atom
Total magnetic moment: 0.000 μB per cell
Symmetry: C2/m
Formation energy (no corrections): -1.6 eV/f.u.

CIF file:
```
data_ZnCdBr2
_chemical_formula_sum 'Zn1 Cd1 Br2'
_cell_length_a 4.0206
_cell_length_b 4.0206
_cell_length_c 10.1656
_cell_angle_alpha 78.90
_cell_angle_beta 78.90
_cell_angle_gamma 59.97
_space_group_name_H-M_alt 'P 1'
_space_group_IT_number 1
_space_group_name_Hall 'P 1'
loop_
_atom_site_label
_atom_site_fract_x
_atom_site_fract_y
_atom_site_fract_z
_atom_site_occupancy
Br1 0.0310 0.0310 0.9110 1
Br2 0.4690 0.4690 0.5890 1
Cd1 0.7500 0.7500 0.7500 1
Zn1 0.2500 0.2500 0.2500 1
```

***

No. 2
A relaxed structure of KY2Ir. Source: Alexandria, functional PBE-GGA.

Summary:
Polymorph energy (0 for the lowest one): 193 meV/atom
Total magnetic moment: 0.000 μB per cell
Symmetry: Imm2
Energy of formation: -152 meV per atom
Density of states at the Fermi level: 3.24 states/eV/cell

CIF file:
```
data_KY2Ir
_chemical_formula_sum 'K1 Y2 Ir1'
_cell_length_a 10.6703
_cell_length_b 10.6703
_cell_length_c 10.6703
_cell_angle_alpha 160.33
_cell_angle_beta 159.00
_cell_angle_gamma 28.93
_space_group_name_H-M_alt 'P 1'
_space_group_IT_number 1
_space_group_name_Hall 'P 1'
loop_
_atom_site_label
_atom_site_fract_x
_atom_site_fract_y
_atom_site_fract_z
_atom_site_occupancy
Ir1 0.4536 0.4536 0.0000 1
K1 0.6851 0.1851 0.5000 1
Y1 0.0054 0.0054 0.0000 1
Y2 0.3560 0.8560 0.5000 1
```

***

No. 3
A relaxed structure of Sr2CoP. Source: Alexandria, functional PBE-GGA.

Summary:
Total magnetic moment: 3.698 μB per cell
Symmetry: I-42d
Energy of formation: 187 meV per atom
Density of states at the Fermi level: 4.07 states/eV/cell

CIF file:
```
data_Sr2CoP
_chemical_formula_sum 'Sr4 Co2 P2'
_cell_length_a 8.1150
_cell_length_b 8.1150
_cell_length_c 6.8210
_cell_angle_alpha 53.50
_cell_angle_beta 53.50
_cell_angle_gamma 90.00
_space_group_name_H-M_alt 'P 1'
_space_group_IT_number 1
_space_group_name_Hall 'P 1'
loop_
_atom_site_label
_atom_site_fract_x
_atom_site_fract_y
_atom_site_fract_z
_atom_site_occupancy
Sr1 0.6066 0.1250 0.2500 1
Sr2 0.1434 0.6250 0.2500 1
Sr3 0.3750 0.3934 0.7500 1
Sr4 0.8750 0.8566 0.7500 1
Co1 0.0000 0.0000 0.0000 1
Co2 0.7500 0.2500 0.5000 1
P1 0.5000 0.5000 0.0000 1
P2 0.2500 0.7500 0.5000 1
```

***

No. 4
A relaxed structure of Rb8BrO4. Source: Alexandria, functional PBE-GGA.

Summary:
Polymorph energy (0 for the lowest one): 34 meV/atom
Total magnetic moment: 1.077 μB per cell
Symmetry: F-43m
Formation energy (no corrections): -13.2 eV/f.u.
Density of states at the Fermi level: 15.49 states/eV/cell

CIF file:
```
data_Rb8BrO4
_chemical_formula_sum 'Rb8 Br1 O4'
_cell_length_a 8.7789
_cell_length_b 8.7789
_cell_length_c 8.7789
_cell_angle_alpha 60.00
_cell_angle_beta 60.00
_cell_angle_gamma 60.00
_space_group_name_H-M_alt 'P 1'
_space_group_IT_number 1
_space_group_name_Hall 'P 1'
loop_
_atom_site_label
_atom_site_fract_x
_atom_site_fract_y
_atom_site_fract_z
_atom_site_occupancy
Rb1 0.5596 0.1468 0.1468 1
Rb2 0.1468 0.5596 0.1468 1
Rb3 0.1468 0.1468 0.5596 1
Rb4 0.1468 0.1468 0.1468 1
Rb5 0.2000 0.6000 0.6000 1
Rb6 0.6000 0.2000 0.6000 1
Rb7 0.6000 0.6000 0.2000 1
Rb8 0.6000 0.6000 0.6000 1
Br1 0.7500 0.7500 0.7500 1
O1 0.8845 0.3718 0.3718 1
O2 0.3718 0.8845 0.3718 1
O3 0.3718 0.3718 0.8845 1
O4 0.3718 0.3718 0.3718 1
```

***

No. 5
A relaxed structure of AcNd3In. Source: Alexandria, functional PBE-GGA.

Summary:
Polymorph energy (0 for the lowest one): 0 meV/atom
Total magnetic moment: 0.000 μB per cell
Symmetry: Cmcm
Energy of formation: -87 meV per atom
Density of states at the Fermi level: 11.68 states/eV/cell

CIF file:
```
data_AcNd3In
_chemical_formula_sum 'Ac2 Nd6 In2'
_cell_length_a 6.0517
_cell_length_b 6.0084
_cell_length_c 9.7319
_cell_angle_alpha 90.00
_cell_angle_beta 71.89
_cell_angle_gamma 90.00
_space_group_name_H-M_alt 'P 1'
_space_group_IT_number 1
_space_group_name_Hall 'P 1'
loop_
_atom_site_label
_atom_site_fract_x
_atom_site_fract_y
_atom_site_fract_z
_atom_site_occupancy
Ac1 0.4736 0.7500 0.7012 1
Ac2 0.1748 0.2500 0.2988 1
Nd1 0.7729 0.2500 0.1026 1
Nd2 0.3777 0.2500 0.8929 1
Nd3 0.5756 0.2500 0.4972 1
Nd4 0.2706 0.7500 0.1071 1
Nd5 0.8755 0.7500 0.8974 1
Nd6 0.0728 0.7500 0.5028 1
In1 0.6756 0.7500 0.2972 1
In2 0.9728 0.2500 0.7028 1
```

***

No. 6
A relaxed structure of CeMgPbAu. Source: Alexandria, functional PBE-GGA.

Summary:
Total magnetic moment: 0.897 μB per cell
Symmetry: F-43m
Energy of formation: -460 meV per atom
Density of states at the Fermi level: 6.56 states/eV/cell

CIF file:
```
data_CeMgPbAu
_chemical_formula_sum 'Ce1 Mg1 Pb1 Au1'
_cell_length_a 5.1954
_cell_length_b 5.1954
_cell_length_c 5.1954
_cell_angle_alpha 60.00
_cell_angle_beta 60.00
_cell_angle_gamma 60.00
_space_group_name_H-M_alt 'P 1'
_space_group_IT_number 1
_space_group_name_Hall 'P 1'
loop_
_atom_site_label
_atom_site_fract_x
_atom_site_fract_y
_atom_site_fract_z
_atom_site_occupancy
Pb1 0.7500 0.7500 0.7500 1
Mg1 0.5000 0.5000 0.5000 1
Au1 0.2500 0.2500 0.2500 1
Ce1 0.0000 0.0000 0.0000 1
```

***

Please write out number 1 again, unchanged.
A relaxed structure of ZnCdBr2. Source: Alexandria, functional PBE-GGA.

Summary:
Polymorph energy (0 for the lowest one): 95 meV/atom
Total magnetic moment: 0.000 μB per cell
Symmetry: C2/m
Formation energy (no corrections): -1.6 eV/f.u.

CIF file:
```
data_ZnCdBr2
_chemical_formula_sum 'Zn1 Cd1 Br2'
_cell_length_a 4.0206
_cell_length_b 4.0206
_cell_length_c 10.1656
_cell_angle_alpha 78.90
_cell_angle_beta 78.90
_cell_angle_gamma 59.97
_space_group_name_H-M_alt 'P 1'
_space_group_IT_number 1
_space_group_name_Hall 'P 1'
loop_
_atom_site_label
_atom_site_fract_x
_atom_site_fract_y
_atom_site_fract_z
_atom_site_occupancy
Br1 0.0310 0.0310 0.9110 1
Br2 0.4690 0.4690 0.5890 1
Cd1 0.7500 0.7500 0.7500 1
Zn1 0.2500 0.2500 0.2500 1
```